Below is Pr3Y4Zn after structural relaxation, with properties calculated at the GGA-PBE level.

The structure in POSCAR format:
```
Pr3Y4Zn
1.0
3.6188 0.0000 0.0000
0.0000 3.6188 0.0000
0.0000 0.0000 19.2180
Pr Y Zn
3 4 1
Direct
0.5000 0.5000 0.2296
0.5000 0.5000 0.5000
0.5000 0.5000 0.7704
0.0000 0.0000 0.9082
0.0000 0.0000 0.0918
0.0000 0.0000 0.3649
0.0000 0.0000 0.6351
0.5000 0.5000 0.0000
```

Summary:
Its formation energy is -78 meV per atom. Its total energy is -5.2618 eV per atom. The symmetry is P4/mmm (123).



Below is UGePd2 after structural relaxation, with properties calculated at the GGA-PBE level.

The structure in POSCAR format:
```
UGePd2
1.0
4.4886 0.0000 0.0000
0.0000 2.9915 0.2528
0.0000 -0.4633 5.4641
U Ge Pd
1 1 2
Direct
0.5000 0.5000 0.0000
0.5000 0.0000 0.5000
0.0000 0.0000 0.2496
0.0000 0.0000 0.7504
```

Summary:
Its formation energy is -335 meV per atom. Its total energy is -6.9078 eV per atom. The symmetry is Pmmm (47).



Below is KZrTl after structural relaxation, with properties calculated at the GGA-PBE level.

The structure in POSCAR format:
```
KZrTl
1.0
9.3097 0.0319 0.0128
-2.4240 6.5796 -0.0261
-0.0068 -0.8042 3.1746
Tl K Zr
2 2 2
Direct
0.1695 0.6778 0.3779
0.4245 0.1245 0.1032
0.7848 0.4666 0.7700
0.0202 0.0686 0.0673
0.3864 0.4947 0.7881
0.5677 0.8512 0.4666
```

Summary:
Its formation energy is 244 meV per atom. Its total energy is -3.7600 eV per atom. The symmetry is P1 (1).



Below is Y13Ho19O48 after structural relaxation, with properties calculated at the GGA-PBE level.

The structure in POSCAR format:
```
Y13Ho19O48
1.0
-0.0203 5.7814 7.1822
4.0636 -4.0498 7.2169
13.3021 5.5119 -4.3974
Y Ho O
13 19 48
Direct
0.1409 0.1409 0.1091
0.9992 0.5007 0.0000
0.3428 0.4076 0.1250
0.2499 0.7503 0.2501
0.7501 0.2498 0.2500
0.0003 0.4994 0.5001
0.5006 0.9992 0.0000
0.1573 0.0927 0.8748
0.6573 0.5927 0.3750
0.2507 0.7496 0.7498
0.7496 0.2506 0.7498
0.4995 0.0003 0.5002
0.8429 0.9072 0.6250
0.1573 0.0926 0.3753
0.7657 0.2663 0.0161
0.0163 0.5167 0.2665
0.3585 0.3585 0.3915
0.1090 0.1090 0.6410
0.6090 0.6090 0.1410
0.7336 0.2336 0.4837
0.4842 0.9836 0.2341
0.8424 0.9072 0.1250
0.3426 0.4073 0.6250
0.2662 0.7661 0.5162
0.5164 0.0164 0.7664
0.3914 0.3913 0.8585
0.8914 0.8915 0.3587
0.6410 0.6410 0.6090
0.9838 0.4838 0.7338
0.2337 0.7333 0.9834
0.6573 0.5927 0.8749
0.8587 0.8587 0.8913
0.2232 0.0060 0.2355
0.0921 0.3967 0.1360
0.3926 0.1499 0.1206
0.1086 0.3485 0.3796
0.6000 0.3590 0.1296
0.4067 0.1050 0.3643
0.2662 0.9618 0.0056
0.3550 0.6577 0.1140
0.7133 0.0148 0.2560
0.2768 0.4947 0.2665
0.2434 0.0274 0.5153
0.9059 0.1232 0.1354
0.7431 0.5277 0.0152
0.1269 0.3426 0.6145
0.6269 0.8426 0.1146
0.5925 0.3747 0.3644
0.1449 0.8433 0.3861
0.2350 0.5366 0.4943
0.7874 0.4847 0.2437
0.9997 0.2412 0.7705
0.5000 0.7409 0.2707
0.4904 0.2504 0.5215
0.9904 0.7506 0.0213
0.9014 0.1415 0.3704
0.0080 0.2507 0.9787
0.5088 0.7503 0.4794
0.4996 0.2596 0.7285
0.1002 0.8585 0.6296
0.9996 0.7598 0.2287
0.8552 0.1575 0.6139
0.7651 0.4627 0.5064
0.2133 0.5149 0.7558
0.3754 0.1573 0.8857
0.8753 0.6574 0.3858
0.4074 0.6230 0.6354
0.7225 0.5067 0.7347
0.7552 0.9733 0.4837
0.0927 0.8746 0.8641
0.2553 0.4732 0.9836
0.6449 0.3434 0.8858
0.5926 0.8948 0.6361
0.2873 0.9849 0.7436
0.7351 0.0366 0.9941
0.8914 0.6498 0.6205
0.4015 0.6413 0.8703
0.6087 0.8485 0.8795
0.9066 0.6051 0.8640
0.7767 0.9949 0.7663
```

Summary:
The calculation puts the raw formation energy at -3.59 eV per atom. Its total energy is -8.7031 eV per atom. The symmetry is P1 (1).



Below is Th4ZnPd after structural relaxation, with properties calculated at the GGA-PBE level.

The structure in POSCAR format:
```
Th4ZnPd
1.0
5.7849 0.0000 0.0000
0.0000 7.4530 0.0000
0.0000 0.0000 7.4530
Th Zn Pd
8 2 2
Direct
0.0000 0.1609 0.6567
0.0000 0.8391 0.3433
0.0000 0.3433 0.1609
0.0000 0.6567 0.8391
0.5000 0.8391 0.6567
0.5000 0.1609 0.3433
0.5000 0.6567 0.1609
0.5000 0.3433 0.8391
0.2500 0.0000 0.0000
0.7500 0.0000 0.0000
0.2500 0.5000 0.5000
0.7500 0.5000 0.5000
```

Summary:
Its formation energy is -319 meV per atom. Its total energy is -6.3430 eV per atom. The symmetry is P4/mcc (124).



Below is Li2VCu after structural relaxation, with properties calculated at the GGA-PBE level.

The structure in POSCAR format:
```
Li2VCu
1.0
0.2727 -4.3260 -0.1661
-3.5539 -2.3699 -0.7552
-0.4692 -2.0589 -3.7891
V Cu Li
1 1 2
Direct
0.0000 0.0000 0.0000
0.5000 0.5000 0.5000
0.2500 0.2500 0.2500
0.7500 0.7500 0.7500
```

Summary:
Its formation energy is 498 meV per atom. Its total energy is -3.7628 eV per atom. The symmetry is Fm-3m (225).